# 1
K2MnCr | PBE | relaxed

```
4
Lattice="5.750 -0.074 0.000 0.050 5.750 0.000 -2.900 -2.838 4.075" Properties=species:S:1:pos:R:3 pbc="T T T"
K 0.000 0.000 0.000
K 0.025 2.875 2.037
Mn 2.900 2.838 0.000
Cr 2.875 -0.037 2.037
```

- calculated volume (A^3/atom) = 33.690
- E above lowest polymorph (meV/atom) = 499
- space-group type = I-4m2 (119)
- formation energy from the elements (meV/atom) = 1170

---

# 2
KMn2Cr | PBE | relaxed

```
4
Lattice="-0.540 0.666 2.929 -0.129 -2.977 0.653 8.355 -0.024 1.545" Properties=species:S:1:pos:R:3 pbc="T T T"
K 5.932 -1.173 2.950
Cr 1.754 -1.161 2.177
Mn 3.387 -0.010 0.626
Mn 0.790 -0.002 0.146
```

- calculated volume (A^3/atom) = 19.773
- E above lowest polymorph (meV/atom) = 0
- space-group type = P4/mmm (123)
- formation energy from the elements (meV/atom) = 640

---

# 3
KMn2Cr | PBE | relaxed

```
4
Lattice="-1.735 -3.539 4.591 -2.102 -5.474 -1.493 4.447 4.088 0.363" Properties=species:S:1:pos:R:3 pbc="T T T"
Mn -3.639 -8.547 2.938
Mn -2.117 -4.973 1.709
Cr 0.396 -1.979 3.252
K 0.213 -2.946 0.210
```

- calculated volume (A^3/atom) = 21.486
- E above lowest polymorph (meV/atom) = 399
- space-group type = Immm (71)
- formation energy from the elements (meV/atom) = 1040

---

# 4
K2MnCr | PBE | relaxed

```
4
Lattice="-0.684 -3.187 1.119 2.053 0.514 2.720 -8.840 3.974 5.920" Properties=species:S:1:pos:R:3 pbc="T T T"
K -8.833 3.971 5.915
K -4.428 1.991 2.965
Cr -5.946 1.644 6.359
Mn -1.526 -0.343 3.399
```

- calculated volume (A^3/atom) = 33.723
- E above lowest polymorph (meV/atom) = 539
- space-group type = P4/mmm (123)
- formation energy from the elements (meV/atom) = 1209

---

# 5
K2MnCr | PBE | relaxed

```
4
Lattice="4.958 0.000 0.000 0.000 4.957 0.000 0.000 0.000 5.548" Properties=species:S:1:pos:R:3 pbc="T T T"
Mn 2.479 0.000 2.774
K 0.000 0.000 0.000
K 2.479 2.478 0.000
Cr 0.000 2.478 2.774
```

- calculated volume (A^3/atom) = 34.084
- E above lowest polymorph (meV/atom) = 543
- space-group type = P4/mmm (123)
- formation energy from the elements (meV/atom) = 1213

---

# 6
KMn4Cr | PBE | relaxed

```
6
Lattice="3.412 0.598 3.817 -0.367 4.044 3.175 -1.461 -0.691 4.895" Properties=species:S:1:pos:R:3 pbc="T T T"
Mn 2.264 1.785 6.356
Mn 0.419 3.467 6.043
Mn -0.114 1.156 6.882
Mn 0.599 1.493 4.493
K 0.000 0.000 0.000
Cr 1.188 2.963 8.915
```

- calculated volume (A^3/atom) = 16.139
- space-group type = F-43m (216)
- formation energy from the elements (meV/atom) = 960

---

# 7
KMn2Cr | PBE | relaxed

```
4
Lattice="9.877 -0.021 -0.012 9.433 2.928 -0.012 9.433 1.420 2.561" Properties=species:S:1:pos:R:3 pbc="T T T"
Mn 28.106 4.232 2.480
Mn 15.007 2.260 1.324
Cr 7.186 1.082 0.634
K 21.557 3.246 1.902
```

- calculated volume (A^3/atom) = 18.729
- E above lowest polymorph (meV/atom) = 233
- space-group type = R-3m (166)
- formation energy from the elements (meV/atom) = 874

---

# 8
KMn2Cr | PBE | relaxed

```
4
Lattice="-2.088 -1.810 -3.986 -0.322 -4.803 -0.602 -4.313 -2.199 0.307" Properties=species:S:1:pos:R:3 pbc="T T T"
K -5.042 -6.609 -3.211
Cr -3.361 -4.406 -2.141
Mn 0.000 0.000 0.000
Mn -1.681 -2.203 -1.070
```

- calculated volume (A^3/atom) = 20.177
- E above lowest polymorph (meV/atom) = 580
- space-group type = F-43m (216)
- formation energy from the elements (meV/atom) = 1221